Here is Sc4PaSb5 after structural relaxation from the Alexandria database. Energies are from PBE.

Structure (extended XYZ):
```
10
Lattice="-2.1037 2.9986 10.4902 2.1037 -2.9986 10.4902 2.1037 2.9986 -10.4902" Properties=species:S:1:pos:R:3 pbc="T T T"
Sc 0.0000 0.0000 2.1267
Sc 0.0000 0.0000 6.1889
Sc 0.0000 0.0000 14.7914
Sc 0.0000 0.0000 18.8536
Pa 0.0000 0.0000 10.4902
Sb 2.1037 0.0000 0.0000
Sb 2.1037 0.0000 4.1700
Sb 2.1037 0.0000 8.2604
Sb 0.0000 2.9986 2.2298
Sb 0.0000 2.9986 6.3202
```

Summary:
DOS at the Fermi energy in states/eV per cell: 7.7
Formation energy (no corrections) in meV/atom: -824